{
  "formula": "Pm2CoPbO6",
  "functional": "PBE+U",
  "state": "optimized geometry",
  "e_tot_ev_per_atom": -6.974,
  "lattice_angstrom": [[5.589, 0.000, 0.000], [0.000, 5.907, 0.000], [-5.317, 0.000, 8.239]],
  "species": ["Pm", "Pm", "Pm", "Pm", "Co", "Co", "Pb", "Pb", "O", "O", "O", "O", "O", "O", "O", "O", "O", "O", "O", "O"],
  "frac_coords": [[0.220, 0.067, 0.246], [0.220, 0.433, 0.746], [0.780, 0.567, 0.254], [0.780, 0.933, 0.754], [0.000, 0.000, 0.500], [0.000, 0.500, 0.000], [0.500, 0.000, 0.000], [0.500, 0.500, 0.500], [0.121, 0.200, 0.934], [0.121, 0.300, 0.434], [0.228, 0.693, 0.930], [0.228, 0.807, 0.430], [0.377, 0.053, 0.747], [0.377, 0.447, 0.247], [0.623, 0.553, 0.753], [0.623, 0.947, 0.253], [0.772, 0.193, 0.570], [0.772, 0.307, 0.070], [0.879, 0.700, 0.566], [0.879, 0.800, 0.066]]
}